# 1
This record from Alexandria via LeMat-Bulk describes an optimized crystal structure of Tb12GaPd6. The functional is PBE.

Lattice parameters (Å, degrees): 8.4120 8.4120 8.4120 102.28 102.28 102.28
Element x y z (fractional)
1 Tb 0.8284 0.5907 0.4366
2 Tb 0.4366 0.8284 0.5907
3 Tb 0.5907 0.4366 0.8284
4 Tb 0.1716 0.4093 0.5634
5 Tb 0.5634 0.1716 0.4093
6 Tb 0.4093 0.5634 0.1716
7 Tb 0.0778 0.9386 0.3262
8 Tb 0.0614 0.6738 0.9222
9 Tb 0.6738 0.9222 0.0614
10 Tb 0.9222 0.0614 0.6738
11 Tb 0.9386 0.3262 0.0778
12 Tb 0.3262 0.0778 0.9386
13 Ga 0.0000 0.0000 0.0000
14 Pd 0.6787 0.8592 0.3802
15 Pd 0.6198 0.3213 0.1407
16 Pd 0.1407 0.6198 0.3213
17 Pd 0.3213 0.1407 0.6198
18 Pd 0.3802 0.6787 0.8592
19 Pd 0.8592 0.3802 0.6787

Properties
Calculated density   7.94 g/cm3
Calculated volume   28.80 Å³ per atom
DFT formation energy   -0.46 eV/atom
E_tot   -98.54 eV per cell
M_tot   0.0 μB per cell


# 2
This record from Alexandria via LeMat-Bulk describes an optimized crystal structure of LiLaNd. The functional is PBE.

Lattice parameters (Å, degrees): 3.7868 3.7868 7.0263 105.63 105.63 90.00
Site moments in Bohr magnetons follow the coordinates.
Element x y z (fractional)
1 La 0.0106 0.0106 0.0211  0.13
2 Nd 0.3200 0.3200 0.6399  0.14
3 Li 0.6695 0.6695 0.3389  -0.01

Properties
Calculated density   5.17 g/cm3
Calculated volume   31.05 Å³ per atom
DFT formation energy   0.08 eV/atom
E_tot   -11.38 eV per cell
M_tot   0.5 μB per cell
Energy relative to the lowest polymorph listed for this composition   0 meV/atom


# 3
This record from Alexandria via LeMat-Bulk describes an optimized crystal structure of Dy2Tl2Zn. The functional is PBE.

Lattice parameters (Å, degrees): 4.6365 6.0798 10.0928 88.94 76.72 67.59
Element x y z (fractional)
1 Dy 0.6816 0.3063 0.3306
2 Dy 0.9209 0.2578 0.9005
3 Dy 0.3184 0.6937 0.6694
4 Dy 0.0791 0.7422 0.0995
5 Tl 0.0946 0.2529 0.5579
6 Tl 0.6547 0.8094 0.8813
7 Tl 0.9054 0.7471 0.4421
8 Tl 0.3453 0.1906 0.1187
9 Zn 0.5934 0.1302 0.6831
10 Zn 0.4066 0.8698 0.3169

Properties
Calculated density   10.40 g/cm3
Calculated volume   25.52 Å³ per atom
DFT formation energy   -0.29 eV/atom
E_tot   -33.31 eV per cell
M_tot   0.0 μB per cell


# 4
This record from Alexandria via LeMat-Bulk describes an optimized crystal structure of ZnCr2Mo2. The functional is PBE.

Lattice parameters (Å, degrees): 6.9938 6.9938 2.9990 90.00 90.00 90.00
Site moments in Bohr magnetons follow the coordinates.
Element x y z (fractional)
1 Cr 0.3621 0.8621 0.0000  1.38
2 Cr 0.8621 0.6379 0.0000  1.36
3 Cr 0.6379 0.1379 0.0000  1.38
4 Cr 0.1379 0.3621 0.0000  1.36
5 Mo 0.1655 0.6655 0.5000  -0.32
6 Mo 0.6655 0.8345 0.5000  -0.32
7 Mo 0.8345 0.3345 0.5000  -0.32
8 Mo 0.3345 0.1655 0.5000  -0.32
9 Zn 0.0000 0.0000 0.0000  0.01
10 Zn 0.5000 0.5000 0.0000  0.01

Properties
Calculated density   8.18 g/cm3
Calculated volume   14.67 Å³ per atom
DFT formation energy   0.40 eV/atom
E_tot   -80.35 eV per cell
M_tot   4.5 μB per cell
Energy relative to the lowest polymorph listed for this composition   0 meV/atom


# 5
This record from Alexandria via LeMat-Bulk describes an optimized crystal structure of AcAgI2O8. The functional is PBE.

Lattice parameters (Å, degrees): 6.5707 6.5707 6.5707 107.32 107.32 113.87
Site moments in Bohr magnetons follow the coordinates.
Element x y z (fractional)
1 Ac 0.2500 0.7500 0.5000  -0.02
2 Ag 0.0000 0.0000 0.0000  0.03
3 I 0.7500 0.2500 0.5000  0.04
4 I 0.5000 0.5000 0.0000  -0.04
5 O 0.3954 0.0783 0.3171  0.07
6 O 0.3291 0.5157 0.1866  -0.07
7 O 0.3291 0.1425 0.8134  -0.07
8 O 0.7613 0.0783 0.6829  0.07
9 O 0.8575 0.6709 0.1866  -0.07
10 O 0.9217 0.2387 0.3171  0.07
11 O 0.9217 0.6046 0.6829  0.07
12 O 0.4843 0.6709 0.8134  -0.07

Properties
Calculated density   5.47 g/cm3
Calculated volume   18.12 Å³ per atom
E_tot   -59.00 eV per cell
M_tot   0.0 μB per cell
Formation energy from raw total energies   -895 kJ/mol of formula units


# 6
This record from Alexandria via LeMat-Bulk describes an optimized crystal structure of TcOsPd. The functional is PBE.

Lattice parameters (Å, degrees): 2.7446 2.7446 6.7843 90.00 90.00 120.00
Element x y z (fractional)
1 Os 0.3333 0.6667 0.6532
2 Tc 0.6667 0.3333 0.3460
3 Pd 0.0000 0.0000 0.0009

Properties
Calculated density   14.81 g/cm3
Calculated volume   14.75 Å³ per atom
DFT formation energy   0.05 eV/atom
E_tot   -26.63 eV per cell
M_tot   0.0 μB per cell
Energy relative to the lowest polymorph listed for this composition   0 meV/atom


# 7
This record from Alexandria via LeMat-Bulk describes an optimized crystal structure of La2Ag2I. The functional is PBE.

Lattice parameters (Å, degrees): 8.6872 8.6872 3.9245 90.00 90.00 90.00
Element x y z (fractional)
1 I 0.0000 0.0000 0.0000
2 I 0.5000 0.5000 0.0000
3 Ag 0.3810 0.8810 0.0000
4 Ag 0.8810 0.6190 0.0000
5 Ag 0.6190 0.1190 0.0000
6 Ag 0.1190 0.3810 0.0000
7 La 0.1708 0.6708 0.5000
8 La 0.6708 0.8292 0.5000
9 La 0.8292 0.3292 0.5000
10 La 0.3292 0.1708 0.5000

Properties
Calculated density   6.96 g/cm3
Calculated volume   29.62 Å³ per atom
E_tot   -38.11 eV per cell
M_tot   0.0 μB per cell
Energy relative to the lowest polymorph listed for this composition   63 meV/atom
Formation energy from raw total energies   -188 kJ/mol of formula units


# 8
This record from Alexandria via LeMat-Bulk describes an optimized crystal structure of Ca4MgAl. The functional is PBE.

Lattice parameters (Å, degrees): 6.7110 6.7110 6.7110 60.00 60.00 60.00
Element x y z (fractional)
1 Ca 0.8762 0.3746 0.3746
2 Ca 0.3746 0.3746 0.8762
3 Ca 0.3746 0.8762 0.3746
4 Ca 0.3746 0.3746 0.3746
5 Mg 0.7500 0.7500 0.7500
6 Al 0.0000 0.0000 0.0000

Properties
Calculated density   1.64 g/cm3
Calculated volume   35.62 Å³ per atom
DFT formation energy   0.40 eV/atom
E_tot   -10.96 eV per cell
M_tot   0.0 μB per cell
Energy relative to the lowest polymorph listed for this composition   491 meV/atom


# 9
This record from Alexandria via LeMat-Bulk describes an optimized crystal structure of BaFeOs2. The functional is PBE.

Lattice parameters (Å, degrees): 9.9585 9.9585 9.9585 16.90 16.90 16.90
Site moments in Bohr magnetons follow the coordinates.
Element x y z (fractional)
1 Ba 0.2500 0.2500 0.2500  -0.01
2 Fe 0.7500 0.7500 0.7500  2.66
3 Os 0.0181 0.0181 0.0181  0.07
4 Os 0.4819 0.4819 0.4819  0.07

Properties
Calculated density   13.08 g/cm3
Calculated volume   18.21 Å³ per atom
DFT formation energy   1.08 eV/atom
E_tot   -28.54 eV per cell
M_tot   2.9 μB per cell
Energy relative to the lowest polymorph listed for this composition   737 meV/atom


# 10
This record from Alexandria via LeMat-Bulk describes an optimized crystal structure of ReHg2P. The functional is PBE.

Lattice parameters (Å, degrees): 3.1253 3.1248 8.5440 90.00 90.00 90.00
Element x y z (fractional)
1 Re 0.5000 0.5000 0.5761
2 Hg 0.0000 0.0000 0.9869
3 Hg 0.5000 0.5000 0.2579
4 P 0.0000 0.0000 0.6791

Properties
Calculated density   12.31 g/cm3
Calculated volume   20.86 Å³ per atom
DFT formation energy   0.27 eV/atom
E_tot   -17.37 eV per cell
M_tot   0.0 μB per cell


# 11
This record from Alexandria via LeMat-Bulk describes an optimized crystal structure of RbTl4O2. The functional is PBE.

Lattice parameters (Å, degrees): 6.3470 6.3470 8.5521 68.22 68.22 90.00
Element x y z (fractional)
1 Tl 0.7422 0.7422 0.5155
2 Tl 0.2578 0.2578 0.4845
3 Tl 0.0000 0.5000 0.0000
4 Tl 0.5000 0.0000 0.0000
5 O 0.5999 0.5999 0.8002
6 O 0.4001 0.4001 0.1998
7 Rb 0.0000 0.0000 0.0000

Properties
Calculated density   5.29 g/cm3
Calculated volume   41.90 Å³ per atom
E_tot   -19.22 eV per cell
M_tot   0.0 μB per cell
Formation energy from raw total energies   109 kJ/mol of formula units


# 12
This record from Alexandria via LeMat-Bulk describes an optimized crystal structure of CaZn6Ga2. The functional is PBE.

Lattice parameters (Å, degrees): 4.1186 4.1186 9.2370 90.00 90.00 90.00
Element x y z (fractional)
1 Ca 0.0000 0.0000 0.0000
2 Zn 0.0000 0.5000 0.3049
3 Zn 0.5000 0.0000 0.3049
4 Zn 0.0000 0.5000 0.6951
5 Zn 0.5000 0.0000 0.6951
6 Zn 0.5000 0.5000 0.5000
7 Zn 0.0000 0.0000 0.5000
8 Ga 0.5000 0.5000 0.1364
9 Ga 0.5000 0.5000 0.8636

Properties
Calculated density   6.06 g/cm3
Calculated volume   17.41 Å³ per atom
DFT formation energy   -0.16 eV/atom
E_tot   -17.15 eV per cell
M_tot   0.0 μB per cell


The lowest calculated density belongs to which entry?
Ca4MgAl


Which formula does entry 9 have?
BaFeOs2